A relaxed structure of VSnF4, computed with PBE with a Hubbard U.

## Properties
E above lowest polymorph, eV per atom: 0.0134
Volume, Å³/cell: 97.9
Density of states at the Fermi level, states/eV/cell: 0.00
SG: Cmmm (65)
DFT total energy, eV/atom: -5.567

Lattice parameters (Å, degrees): 3.496 5.294 5.294 89.08 90.00 90.00
Element x y z (fractional)
V (0.000, 0.500, 0.500)
Sn (0.500, 0.000, 0.000)
F (0.000, 0.220, 0.220)
F (0.000, 0.780, 0.780)
F (0.500, 0.675, 0.325)
F (0.500, 0.325, 0.675)